1.
Density functional theory data (PBE) for an optimized crystal structure of Ba2CdTeO6.

Lattice parameters (Å, degrees): 8.4861 8.4861 8.4861 90.00 90.00 90.00
Space group Fm-3m (No. 225)
Asymmetric unit:
Ba1 0.2500 0.2500 0.2500 x8
Cd1 0.0000 0.0000 0.0000 x4
Te1 0.0000 0.0000 0.5000 x4
O1 0.0000 0.0000 0.2694 x24

Output
size of the total moment: 0.000 μB per atom
raw total energy: -5.67 eV/atom

2.
Density functional theory data (PBE) for an optimized crystal structure of Ba3CdTe2O8.

Lattice parameters (Å, degrees): 6.1347 6.1347 8.1070 90.00 90.00 120.00
Space group P-3m1 (No. 164)
Asymmetric unit:
Ba1 0.0000 0.0000 0.0000 x1
Ba2 0.3333 0.6667 0.6347 x2
Cd1 0.0000 0.0000 0.5000 x1
Te1 0.3333 0.6667 0.1928 x2
O1 0.1692 0.3384 0.3171 x6
O2 0.3333 0.6667 0.9379 x2

Output
size of the total moment: 0.000 μB per atom
raw total energy: -5.39 eV/atom

3.
Density functional theory data (PBE) for an optimized crystal structure of Ba2CdTe2O6.

Lattice parameters (Å, degrees): 10.8524 6.7133 6.6180 90.00 117.23 90.00
Space group C2/m (No. 12)
Asymmetric unit:
Ba1 0.1876 0.0000 0.1196 x4
Cd1 0.0000 0.0000 0.5000 x2
Te1 0.0762 0.5000 0.2578 x4
O1 0.0075 0.2111 0.2266 x8
O2 0.2482 0.5000 0.2290 x4

Output
size of the total moment: 0.000 μB per atom
raw total energy: -5.22 eV/atom

4.
Density functional theory data (PBE) for an optimized crystal structure of Ba2ThCd2O6.

Lattice parameters (Å, degrees): 6.5623 6.5623 18.2079 90.00 90.00 120.00
Space group R-3m (No. 166, hexagonal axes)
Asymmetric unit:
Ba1 0.0000 0.0000 0.2008 x6
Th1 0.0000 0.0000 0.0000 x3
Cd1 0.0000 0.0000 0.4183 x6
O1 0.0370 0.5185 0.7541 x18

Output
size of the total moment: 0.000 μB per atom
raw total energy: -6.08 eV/atom

5.
Density functional theory data (PBE) for an optimized crystal structure of BaTi2CdO6.

Lattice parameters (Å, degrees): 9.4221 11.8410 6.6855 90.00 115.13 90.00
Space group C2/c (No. 15)
Asymmetric unit:
Ba1 0.0000 0.1090 0.2500 x4
Ti1 0.1410 0.4284 0.1731 x8
Cd1 0.0000 0.2138 0.7500 x4
O1 0.0947 0.2852 0.0779 x8
O2 0.1159 0.4676 0.4444 x8
O3 0.1451 0.0767 0.6894 x8

Output
size of the total moment: 0.000 μB per atom
raw total energy: -7.47 eV/atom

6.
Density functional theory data (PBE) for an optimized crystal structure of Ba2TiCd2O6.

Lattice parameters (Å, degrees): 6.2945 6.2945 16.4785 90.00 90.00 120.00
Space group R-3m (No. 166, hexagonal axes)
Asymmetric unit:
Ba1 0.0000 0.0000 0.2081 x6
Ti1 0.0000 0.0000 0.0000 x3
Cd1 0.0000 0.0000 0.4093 x6
O1 0.0507 0.5253 0.7443 x18

Output
size of the total moment: 0.000 μB per atom
raw total energy: -5.94 eV/atom

7.
Density functional theory data (PBE) for an optimized crystal structure of Ba3Ti2CdO8.

Lattice parameters (Å, degrees): 6.0085 6.0085 7.6492 90.00 90.00 120.00
Space group P-3m1 (No. 164)
Asymmetric unit:
Ba1 0.0000 0.0000 0.0000 x1
Ba2 0.3333 0.6667 0.6530 x2
Ti1 0.3333 0.6667 0.2116 x2
Cd1 0.0000 0.0000 0.5000 x1
O1 0.1710 0.3420 0.3063 x6
O2 0.3333 0.6667 0.9773 x2

Output
size of the total moment: 0.000 μB per atom
raw total energy: -7.16 eV/atom

8.
Density functional theory data (PBE) for an optimized crystal structure of BaTlCdO3.

Lattice parameters (Å, degrees): 7.1360 3.5656 9.2434 90.00 98.42 90.00
Space group P2_1/m (No. 11)
Asymmetric unit:
Ba1 0.1806 0.2500 0.2030 x2
Tl1 0.1883 0.2500 0.6062 x2
Cd1 0.3517 0.7500 0.8926 x2
O1 0.1274 0.2500 0.8590 x2
O2 0.1608 0.7500 0.4423 x2
O3 0.4351 0.7500 0.1406 x2

Output
size of the total moment: 0.000 μB per atom
raw total energy: -4.64 eV/atom

9.
Density functional theory data (PBE) for an optimized crystal structure of Ba2TlCdO5.

Lattice parameters (Å, degrees): 3.7322 15.1039 11.1333 90.00 90.00 90.00
Space group Cmc2_1 (No. 36)
Asymmetric unit:
Ba1 0.0000 0.1086 0.0000 x4
Ba2 0.0000 0.1363 0.6131 x4
Tl1 0.0000 0.4647 0.7810 x4
Cd1 0.0000 0.2212 0.3283 x4
O1 0.0000 0.0621 0.3771 x4
O2 0.0000 0.2808 0.9619 x4
O3 0.0000 0.3120 0.7059 x4
O4 0.0000 0.3764 0.3148 x4
O5 0.0000 0.4971 0.0944 x4

Output
size of the total moment: 0.118 μB per atom
raw total energy: -5.05 eV/atom

10.
Density functional theory data (PBE) for an optimized crystal structure of Ba3Tl2CdO6.

Lattice parameters (Å, degrees): 6.3276 6.3276 6.9931 90.00 90.00 120.00
Space group P-3m1 (No. 164)
Asymmetric unit:
Ba1 0.0000 0.0000 0.0000 x1
Ba2 0.3333 0.6667 0.6084 x2
Tl1 0.3333 0.6667 0.1267 x2
Cd1 0.0000 0.0000 0.5000 x1
O1 0.1661 0.3322 0.3055 x6

Output
size of the total moment: 0.000 μB per atom
raw total energy: -4.95 eV/atom

11.
Density functional theory data (PBE) for an optimized crystal structure of BaTmCd2O4.

Lattice parameters (Å, degrees): 6.0930 6.1992 7.4865 90.00 90.00 90.00
Space group I222 (No. 23)
Asymmetric unit:
Ba1 0.0000 0.0000 0.0000 x2
Tm1 0.0000 0.0000 0.5000 x2
Cd1 0.0000 0.5000 0.2837 x4
O1 0.2120 0.1844 0.6699 x8

Output
size of the total moment: 0.000 μB per atom
raw total energy: -5.50 eV/atom

12.
Density functional theory data (PBE) for an optimized crystal structure of Ba3U2CdO9.

Lattice parameters (Å, degrees): 6.2160 6.2160 7.6526 90.00 90.00 120.00
Space group P-3m1 (No. 164)
Asymmetric unit:
Ba1 0.0000 0.0000 0.0000 x1
Ba2 0.3333 0.6667 0.6464 x2
U1 0.3333 0.6667 0.1677 x2
Cd1 0.0000 0.0000 0.5000 x1
O1 0.0000 0.5000 0.0000 x3
O2 0.1741 0.3483 0.3249 x6

Output
size of the total moment: 0.133 μB per atom
raw total energy: -7.79 eV/atom